Er3PuCo after structural relaxation. Source: Alexandria via LeMat-Bulk, functional PBE-GGA.

Unit cell a=5.2085 b=5.2085 c=5.2085 alpha=90.00 beta=90.00 gamma=90.00
With the nearest neighbours (Å) after each atom.
Fractional coordinates of all 5 atoms:
Pu 0.5000 0.5000 0.5000  12 Er 3.68
Er 0.0000 0.0000 0.5000  2 Co 2.60
Er 0.5000 0.0000 0.0000  2 Co 2.60
Co 0.0000 0.0000 0.0000  6 Er 2.60
Er 0.0000 0.5000 0.0000  2 Co 2.60

## Properties
- Theoretical density: 9.5 g cm⁻³
- D(E_F): 2.60 states/eV/atom
- E_form: 0.070 eV per atom
- Magnetic moment: 6.95 μB per formula unit
- Energy: -34.78 eV/cell